Entry 1:
! CuIrBr (PBE-GGA, relaxed); values from VASP
! * polymorph energy (0 for the lowest one): 0.61 eV per formula unit
! * uncorrected formation energy: 0.8670 eV/atom
! * symmetry: P-6m2 (187)
! * Fermi-level density of states: 1.037 states/eV/atom
&SYSTEM
  ibrav = 0, nat = 3, ntyp = 3
/
ATOMIC_SPECIES
Br 79.90 Br.upf
Cu 63.55 Cu.upf
Ir 192.22 Ir.upf
CELL_PARAMETERS angstrom
4.377 0.000 0.000
-2.189 3.791 0.000
0.000 0.000 2.955
ATOMIC_POSITIONS crystal
Br 0.000 0.000 0.834
Cu 0.667 0.333 0.333
Ir 0.333 0.667 0.833


Entry 2:
! Al2SeCl (PBE-GGA, relaxed); values from VASP
! * polymorph energy (0 for the lowest one): 1.99 eV per formula unit
! * uncorrected formation energy: -0.1381 eV/atom
! * symmetry: Fm-3m (225)
! * Fermi-level density of states: 0.584 states/eV/atom
&SYSTEM
  ibrav = 0, nat = 4, ntyp = 3
/
ATOMIC_SPECIES
Al 26.98 Al.upf
Se 78.96 Se.upf
Cl 35.45 Cl.upf
CELL_PARAMETERS angstrom
0.000 3.423 3.423
3.423 0.000 3.423
3.423 3.423 0.000
ATOMIC_POSITIONS crystal
Al 0.250 0.250 0.250
Al 0.750 0.750 0.750
Se 0.500 0.500 0.500
Cl 0.000 0.000 0.000


Question: Fermi-level density of states of number 1 (CuIrBr)?
Answer: 1.037 states/eV/atom